[1]
The following is a DFT calculation (GGA-PBE) of a relaxed structure of Sc2Ga4Ni5.

Its formation energy is -0.44 eV per atom. As for the theoretical density: 6.57 Mg/m³. The total energy comes out at -5.32 eV/atom. Its space-group type is Fmmm, No. 69.

Cell: 5.1571 5.0243 7.9556 Å, 80.42 71.09 59.12°
Closest atoms and distances in Å follow each position.
Element x y z (fractional)
Ga: 0.7900 0.6805 0.7395  5 Ni 2.35-2.47
Ga: 0.4705 0.3195 0.7395  5 Ni 2.35-2.47
Ga: 0.5295 0.6805 0.2605  5 Ni 2.35-2.47
Ga: 0.2100 0.3195 0.2605  5 Ni 2.35-2.47
Ni: 0.0000 0.5000 0.0000  4 Ga 2.47, 4 Ni 2.51-2.58
Ni: 0.5000 0.5000 0.0000  4 Ga 2.47, 4 Ni 2.51-2.58
Ni: 0.7500 0.5000 0.5000  4 Ga 2.35, 2 Ni 2.58
Ni: 0.5000 0.0000 0.0000  4 Ga 2.40, 4 Ni 2.51
Ni: 0.2500 0.5000 0.5000  4 Ga 2.35, 2 Ni 2.58
Sc: 0.8867 0.0000 0.2265  6 Ga 2.93-2.95, 10 Ni 3.04-3.25
Sc: 0.1133 0.0000 0.7735  6 Ga 2.93-2.95, 10 Ni 3.04-3.25

***

[2]
The following is a DFT calculation (GGA-PBE) of a relaxed structure of ScGa2Ni.

Its formation energy is -0.16 eV per atom. As for the theoretical density: 5.79 Mg/m³. The total energy comes out at -4.71 eV/atom. Its space-group type is I-42d, No. 122.

Cell: 3.8524 3.8524 9.7872 Å, 78.65 78.65 90.00°
Closest atoms and distances in Å follow each position.
Element x y z (fractional)
Ga: 0.3750 0.3511 0.7500  4 Ga 2.60-2.86, 2 Ni 2.69, 2 Sc 2.75
Ga: 0.8750 0.8989 0.7500  4 Ga 2.60-2.86, 2 Ni 2.69, 2 Sc 2.75
Ga: 0.1011 0.6250 0.2500  4 Ga 2.60-2.86, 2 Ni 2.69, 2 Sc 2.75
Ga: 0.6489 0.1250 0.2500  4 Ga 2.60-2.86, 2 Ni 2.69, 2 Sc 2.75
Sc: 0.5000 0.5000 0.0000  4 Ni 2.72, 4 Ga 2.75
Sc: 0.2500 0.7500 0.5000  4 Ni 2.72, 4 Ga 2.75
Ni: 0.7500 0.2500 0.5000  4 Ga 2.69, 4 Sc 2.72
Ni: 0.0000 0.0000 0.0000  4 Ga 2.69, 4 Sc 2.72